1.
VASP calculation (PBE) on crystalline ThZrGe2Rh5 at its relaxed geometry.

Computed properties:
* size of the total moment: 0.0 μB/cell
* symmetry: P4/mmm (123)

Cell: 4.152 4.152 9.052 Å, 90.00 90.00 90.00°
Fractional positions:
Th 0.000 0.000 0.500
Zr 0.000 0.000 0.000
Ge 0.500 0.500 0.133
Ge 0.500 0.500 0.867
Rh 0.000 0.500 0.264
Rh 0.500 0.000 0.264
Rh 0.000 0.500 0.736
Rh 0.500 0.000 0.736
Rh 0.500 0.500 0.500

2.
VASP calculation (PBE) on crystalline TiGe2Rh2 at its relaxed geometry.

Computed properties:
* size of the total moment: 0.0 μB/cell
* symmetry: P4/mbm (127)

Cell: 7.289 7.289 2.843 Å, 90.00 90.00 90.00°
Fractional positions:
Ge 0.348 0.848 0.000
Ge 0.848 0.652 0.000
Ge 0.652 0.152 0.000
Ge 0.152 0.348 0.000
Rh 0.147 0.647 0.500
Rh 0.647 0.853 0.500
Rh 0.853 0.353 0.500
Rh 0.353 0.147 0.500
Ti 0.000 0.000 0.000
Ti 0.500 0.500 0.000

3.
VASP calculation (PBE) on crystalline Ti2Ge3Rh at its relaxed geometry.

Computed properties:
* size of the total moment: 0.0 μB/cell
* symmetry: C2/c (15)

Cell: 6.945 6.714 6.714 Å, 135.58 100.29 100.29°
Fractional positions:
Ti 0.250 0.928 0.072
Ti 0.250 0.230 0.770
Ti 0.750 0.072 0.928
Ti 0.750 0.770 0.230
Ge 0.031 0.229 0.398
Ge 0.531 0.398 0.229
Ge 0.000 0.500 0.000
Ge 0.969 0.771 0.602
Ge 0.500 0.000 0.500
Ge 0.469 0.602 0.771
Rh 0.250 0.585 0.415
Rh 0.750 0.415 0.585

4.
VASP calculation (PBE) on crystalline Ti2Ge2Rh at its relaxed geometry.

Computed properties:
* size of the total moment: 0.0 μB/cell
* symmetry: Cmc2_1 (36)

Cell: 4.195 5.315 7.411 Å, 90.00 106.44 90.00°
Fractional positions:
Ti 0.999 0.748 0.999
Ti 0.802 0.426 0.604
Ti 0.198 0.926 0.396
Ti 0.001 0.248 0.001
Ge 0.420 0.508 0.839
Ge 0.815 0.929 0.629
Ge 0.185 0.429 0.371
Ge 0.580 0.008 0.161
Rh 0.400 0.024 0.799
Rh 0.600 0.524 0.201

5.
VASP calculation (PBE) on crystalline TiGe3Rh at its relaxed geometry.

Computed properties:
* size of the total moment: 0.0 μB/cell
* energy relative to the lowest polymorph listed for this composition: 0.0 meV/atom
* symmetry: Pm-3m (221)

Cell: 4.742 4.742 4.742 Å, 90.00 90.00 90.00°
Fractional positions:
Ge 0.000 0.500 0.000
Ge 0.000 0.000 0.500
Ge 0.500 0.000 0.000
Rh 0.000 0.000 0.000
Ti 0.500 0.500 0.500

6.
VASP calculation (PBE) on crystalline Ti2GeRh3 at its relaxed geometry.

Computed properties:
* size of the total moment: 0.0 μB/cell
* symmetry: Cmmm (65)

Cell: 3.512 4.100 12.278 Å, 90.00 90.00 90.00°
Fractional positions:
Ti 0.999 0.000 0.664
Ti 0.999 0.000 0.336
Ti 0.001 0.500 0.164
Ti 0.001 0.500 0.836
Ge 0.000 0.500 0.500
Ge 0.000 0.000 0.000
Rh 0.499 0.500 0.668
Rh 0.500 0.000 0.500
Rh 0.499 0.500 0.332
Rh 0.501 0.000 0.168
Rh 0.500 0.500 0.000
Rh 0.501 0.000 0.832

Table of formation enthalpy at 0 K (eV per atom), in record order: -0.69, -0.47, -0.44, -0.61, 0.52, -0.71
Table of raw total energy (eV/atom), in record order: -7.570, -6.834, -6.602, -7.089, -5.299, -7.786
Table of density of states at the Fermi level (states/eV/atom), in record order: 0.74, 0.59, 0.84, 0.59, 1.61, 0.86